Pa2CdRh3 | PBE-GGA | relaxed

Structure (POSCAR):
```
Pa2CdRh3
1.0
7.8925 0.0000 4.5568
2.6308 7.4411 4.5568
0.0000 0.0000 9.1135
Pa Cd Rh
8 4 12
Cartesian
2.8719 2.0307 4.9743
3.9463 5.0695 6.8351
6.0950 2.0307 6.8351
2.8719 2.0307 8.6960
6.5771 2.3716 11.3919
7.6515 5.4104 13.2527
4.4284 5.4104 11.3919
7.6515 5.4104 9.5310
0.0000 0.0000 0.0000
1.3154 3.7206 2.2784
3.9463 0.0000 2.2784
0.0000 0.0000 4.5568
3.9759 2.8114 11.3919
9.1783 6.4900 11.3919
7.8777 2.8114 9.1392
5.2765 6.4900 13.6446
5.2765 6.4900 9.1392
7.8777 2.8114 13.6446
5.2469 0.9511 4.5824
2.6457 4.6297 9.0878
1.3451 0.9511 6.8351
6.5474 4.6297 6.8351
5.2469 0.9511 9.0878
2.6457 4.6297 4.5824
```

Results
As for the density of states at the Fermi level: 24.581 states/eV per cell. For the total energy, the calculation gives -176.410 eV for the cell shown. As for the total magnetization: 0.00 Bohr magnetons per cell. The calculation puts the volume at 535.2 Å³ per cell. As for the space-group type: Fd-3m. The calculation puts the formation energy at -0.36 eV per atom.



MoRuCl2 | PBE-GGA | relaxed

Structure (POSCAR):
```
MoRuCl2
1.0
4.2006 0.0000 0.0000
0.0000 3.0307 0.0015
0.0000 -0.4102 5.0774
Ru Mo Cl
1 1 2
Cartesian
2.1003 1.9653 3.8092
2.1003 0.6551 1.2697
0.0000 0.0423 0.0102
0.0000 1.2679 2.5293
```

Results
As for the density of states at the Fermi level: 5.164 states/eV per cell. For the total energy, the calculation gives -21.167 eV for the cell shown. For the formation energy (no corrections), the calculation gives 0.66 eV per atom. As for the total magnetization: 0.44 Bohr magnetons per cell. The calculation puts the volume at 64.6 Å³ per cell. As for the space-group type: P2/m. The energy above the most stable polymorph in this dataset is 903 meV/atom.



SrZn4In | PBE-GGA | relaxed

Structure (POSCAR):
```
SrZn4In
1.0
2.1548 -5.1999 0.3230
-1.8153 -3.5617 3.9756
-3.1514 -4.4511 -1.4290
Sr Zn In
1 4 1
Cartesian
0.0000 0.0000 0.0000
0.0218 -7.5540 1.2378
-2.6293 -7.1799 0.3624
-1.9617 -6.7355 3.0627
-1.0547 -4.9560 1.0764
-2.1089 -9.9095 2.1522
```

Results
As for the density of states at the Fermi level: 1.753 states/eV per cell. For the total energy, the calculation gives -10.227 eV for the cell shown. As for the total magnetization: 0.00 Bohr magnetons per cell. The calculation puts the volume at 126.7 Å³ per cell. As for the space-group type: F-43m. The energy above the most stable polymorph in this dataset is 0 meV/atom. The calculation puts the formation energy at -0.12 eV per atom.



Li7MgPb4 | PBE-GGA | relaxed

Structure (POSCAR):
```
Li7MgPb4
1.0
5.0608 0.0000 0.0000
2.5304 8.1606 0.1811
2.5304 0.4789 6.7056
Li Mg Pb
7 1 4
Cartesian
7.5912 7.3418 3.9100
2.5304 1.2977 2.9766
2.5304 5.4751 1.5806
7.5912 3.1645 5.3060
5.0608 5.0651 4.8341
2.5304 0.0000 0.0000
5.0608 3.5744 2.0525
0.0000 0.0000 0.0000
5.0608 1.9679 4.3733
5.0608 6.6716 2.5134
7.5912 5.8184 6.3976
2.5304 2.8211 0.4890
```

Results
As for the density of states at the Fermi level: 3.694 states/eV per cell. For the total energy, the calculation gives -31.534 eV for the cell shown. As for the total magnetization: 0.00 Bohr magnetons per cell. The calculation puts the volume at 276.5 Å³ per cell. As for the space-group type: C2/m. The calculation puts the formation energy at -0.14 eV per atom.



Zr5SnGe2 | PBE-GGA | relaxed

Structure (POSCAR):
```
Zr5SnGe2
1.0
-5.6840 4.1200 -1.7949
2.5459 0.5672 -6.7602
-1.6883 -7.5626 2.6130
Zr Sn Ge
10 2 4
Cartesian
-2.3324 -2.8344 -3.7659
-2.5623 1.6547 -7.3591
0.0000 0.0000 0.0000
-1.5690 2.3436 -4.2775
-2.2640 -4.5302 1.4170
-4.6418 -2.3668 -0.7131
0.0453 -4.9978 -1.6358
-0.1846 -0.5087 -5.2290
-4.8717 2.1224 -4.3063
-2.4940 -0.0410 -2.1762
-3.1977 -0.2659 -5.1098
-1.6287 -2.6095 -0.8323
0.1343 0.7751 -2.6931
-3.2761 2.7085 -2.0811
0.1381 1.9787 -6.4740
-3.2724 3.9120 -5.8620
```

Results
As for the density of states at the Fermi level: 15.188 states/eV per cell. For the total energy, the calculation gives -123.247 eV for the cell shown. As for the total magnetization: 0.00 Bohr magnetons per cell. The calculation puts the volume at 334.6 Å³ per cell. As for the space-group type: I4/mcm. The calculation puts the formation energy at -0.71 eV per atom.



Os2RhCl | PBE-GGA | relaxed

Structure (POSCAR):
```
Os2RhCl
1.0
-1.0712 -2.6144 -0.0177
1.4647 -0.5842 -2.3444
5.8819 -2.4390 4.2826
Cl Os Rh
1 2 1
Cartesian
4.7059 -3.4691 2.1020
0.1001 -0.0415 0.0729
1.5804 -2.1730 -0.1736
2.8300 -1.1735 2.0605
```

Results
As for the density of states at the Fermi level: 3.897 states/eV per cell. For the total energy, the calculation gives -29.607 eV for the cell shown. For the formation energy (no corrections), the calculation gives 0.51 eV per atom. As for the total magnetization: 0.00 Bohr magnetons per cell. The calculation puts the volume at 61.3 Å³ per cell. As for the space-group type: P4mm. The energy above the most stable polymorph in this dataset is 77 meV/atom.



Fe2PW | PBE-GGA | relaxed

Structure (POSCAR):
```
Fe2PW
1.0
-0.1170 1.3867 2.9265
1.3827 -2.4543 1.2183
5.3803 0.9858 -0.2520
Fe P W
2 1 1
Cartesian
0.1765 -0.1104 0.0594
1.8399 -0.1596 1.9434
3.2279 -0.2242 0.2353
4.7831 -0.3220 2.1380
```

Results
As for the density of states at the Fermi level: 2.429 states/eV per cell. For the total energy, the calculation gives -35.670 eV for the cell shown. As for the total magnetization: 4.32 Bohr magnetons per cell. The calculation puts the volume at 52.3 Å³ per cell. As for the space-group type: Amm2. The calculation puts the formation energy at -0.10 eV per atom.



ErPt5 | PBE-GGA | relaxed

Structure (POSCAR):
```
ErPt5
1.0
-3.4520 3.4677 -0.6687
-2.8401 -1.1926 -3.9128
-1.2975 -1.5996 4.5982
Er Pt
1 5
Cartesian
0.0000 0.0000 0.0000
-4.9109 -0.2885 -0.5751
-2.3106 -1.3158 -1.0907
-3.1460 1.1376 -2.2907
-1.8271 -1.4763 1.7761
-2.6787 0.9640 0.5918
```

Results
As for the density of states at the Fermi level: 5.588 states/eV per cell. For the total energy, the calculation gives -38.586 eV for the cell shown. As for the total magnetization: 0.00 Bohr magnetons per cell. The calculation puts the volume at 101.4 Å³ per cell. As for the space-group type: C2/m. The calculation puts the formation energy at -0.64 eV per atom.



Ac3NdRh | PBE-GGA | relaxed

Structure (POSCAR):
```
Ac3NdRh
1.0
7.3086 0.0548 -2.9971
-3.5689 6.5207 -2.6731
0.1801 -0.0652 7.9242
Ac Nd Rh
6 2 2
Cartesian
6.0014 0.3070 -0.3647
0.2122 2.9239 0.3286
3.7077 3.5864 1.9255
3.6034 2.9810 -2.0474
-2.0815 6.2033 2.6187
0.3165 3.5292 4.3014
5.0952 0.2790 3.6840
-1.1753 6.2313 -1.4300
1.8053 4.9213 -0.9833
2.1146 1.5890 3.2373
```

Results
As for the density of states at the Fermi level: 12.191 states/eV per cell. For the total energy, the calculation gives -51.877 eV for the cell shown. As for the total magnetization: 0.00 Bohr magnetons per cell. The calculation puts the volume at 380.7 Å³ per cell. As for the space-group type: C2/m. The energy above the most stable polymorph in this dataset is 0 meV/atom. The calculation puts the formation energy at -0.30 eV per atom.



GaAu2O | PBE-GGA | relaxed

Structure (POSCAR):
```
GaAu2O
1.0
-5.3066 -1.2772 -4.0990
3.9062 -4.1408 -3.7667
-1.4094 -4.8082 -2.3606
Au O Ga
4 2 2
Cartesian
-3.0312 -2.4819 -3.5074
1.2762 -3.9857 -3.5722
-1.4722 -5.7546 -4.8262
-2.3925 -8.2303 -8.5469
-0.7002 -2.7090 -3.9329
0.8983 -5.8290 -5.0301
0.0000 0.0000 0.0000
-3.7081 -4.3972 -5.1962
```

Results
As for the density of states at the Fermi level: 3.664 states/eV per cell. For the total energy, the calculation gives -28.527 eV for the cell shown. For the formation energy (no corrections), the calculation gives 0.07 eV per atom. As for the total magnetization: 0.00 Bohr magnetons per cell. The calculation puts the volume at 126.6 Å³ per cell. As for the space-group type: I-42d. The energy above the most stable polymorph in this dataset is 0 meV/atom.



NaCr2Ga | PBE-GGA | relaxed

Structure (POSCAR):
```
NaCr2Ga
1.0
3.9579 0.0000 0.0000
0.0000 3.9579 0.0000
1.9790 1.9790 9.4229
Cr Ga Na
4 2 2
Cartesian
0.5220 0.9895 2.3557
3.4359 2.9684 2.3557
2.9684 5.4149 7.0672
4.9474 2.5009 7.0672
0.0000 0.0000 0.0000
3.9579 1.9790 4.7115
1.9790 1.9790 0.0000
1.9790 3.9579 4.7115
```

Results
As for the density of states at the Fermi level: 5.494 states/eV per cell. For the total energy, the calculation gives -39.477 eV for the cell shown. As for the total magnetization: 8.08 Bohr magnetons per cell. The calculation puts the volume at 147.6 Å³ per cell. As for the space-group type: I-42d. The calculation puts the formation energy at 0.96 eV per atom.



Cs16K6Rb7 | PBE-GGA | relaxed

Structure (POSCAR):
```
Cs16K6Rb7
1.0
14.0572 0.0000 8.1159
4.6857 13.2533 8.1159
0.0000 0.0000 16.2319
Cs K Rb
16 6 7
Cartesian
9.0437 11.7125 24.3478
14.0572 4.6224 24.3478
16.5639 11.7125 28.6895
16.5639 11.7125 20.0060
4.6858 8.6309 8.1159
9.6992 1.5408 8.1159
2.1790 1.5408 3.7742
2.1790 1.5408 12.4577
4.3581 8.3991 16.2319
9.3715 1.3091 16.2319
11.8782 8.3991 20.5736
11.8782 8.3991 11.8901
9.3715 11.9442 16.2319
14.3849 4.8541 16.2319
6.8648 4.8541 11.8901
6.8648 4.8541 20.5736
7.1605 9.7534 12.4023
11.5825 3.4998 20.0614
7.1605 9.7534 20.0614
11.5825 3.4998 12.4023
4.9495 3.4998 16.2319
13.7935 9.7534 16.2319
9.3715 6.6266 16.2319
7.0286 0.0000 12.1739
2.3429 6.6266 4.0580
7.0286 0.0000 4.0580
2.3429 6.6266 12.1739
9.3715 6.6266 8.1159
0.0000 0.0000 8.1159
```

Results
As for the density of states at the Fermi level: 28.142 states/eV per cell. For the total energy, the calculation gives -26.282 eV for the cell shown. As for the total magnetization: 0.00 Bohr magnetons per cell. The calculation puts the volume at 3024.1 Å³ per cell. As for the space-group type: Fm-3m. The calculation puts the formation energy at 0.03 eV per atom.



K4TaTc | PBE-GGA | relaxed

Structure (POSCAR):
```
K4TaTc
1.0
-4.8178 -4.9227 0.1537
-6.6694 1.6955 -0.3342
-3.6396 -1.4364 -5.6708
K Ta Tc
4 1 1
Cartesian
-8.0813 -4.2097 -2.1176
-7.4924 -2.4670 -5.0291
-9.0069 -0.9015 -2.3615
-5.6731 -1.7490 -2.1944
-11.3451 -3.4977 -4.3885
0.0000 0.0000 0.0000
```

Results
As for the density of states at the Fermi level: 12.035 states/eV per cell. For the total energy, the calculation gives -15.134 eV for the cell shown. As for the total magnetization: 7.84 Bohr magnetons per cell. The calculation puts the volume at 231.3 Å³ per cell. As for the space-group type: F-43m. The calculation puts the formation energy at 1.91 eV per atom.



Tm2Tl2Cd | PBE-GGA | relaxed

Structure (POSCAR):
```
Tm2Tl2Cd
1.0
3.4381 0.0000 0.0000
0.0000 4.6537 0.0000
0.0000 -2.3269 8.1506
Tm Tl Cd
2 2 1
Cartesian
1.7190 2.3269 1.7675
1.7190 0.0000 6.3831
0.0000 0.0000 3.1334
0.0000 2.3269 5.0172
0.0000 0.0000 0.0000
```

Results
As for the density of states at the Fermi level: 3.416 states/eV per cell. For the total energy, the calculation gives -15.545 eV for the cell shown. As for the total magnetization: 0.00 Bohr magnetons per cell. The calculation puts the volume at 130.4 Å³ per cell. As for the space-group type: Cmmm. The energy above the most stable polymorph in this dataset is 29 meV/atom. The calculation puts the formation energy at -0.19 eV per atom.



Fe2BI8 | PBE-GGA | relaxed

Structure (POSCAR):
```
Fe2BI8
1.0
-6.2790 1.4144 -5.9067
7.4943 0.4286 -1.4039
-3.5166 -9.9950 1.3449
Fe B I
2 1 8
Cartesian
-1.8343 -4.4342 -5.5720
-0.4670 -3.7178 -0.3938
0.0000 0.0000 0.0000
-5.2608 -0.5427 -4.9053
-1.4627 -1.3983 -1.3323
2.9596 -7.6093 -1.0605
1.2068 -4.1934 -2.2870
-0.8386 -6.7538 -4.6334
-1.1711 -1.8122 -5.6491
-1.1302 -6.3398 -0.3167
-3.5081 -3.9586 -3.6788
```

Results
As for the density of states at the Fermi level: 5.083 states/eV per cell. For the total energy, the calculation gives -33.941 eV for the cell shown. For the formation energy (no corrections), the calculation gives 0.19 eV per atom. As for the total magnetization: 8.10 Bohr magnetons per cell. The calculation puts the volume at 510.8 Å³ per cell. As for the space-group type: C2/m.



Pr3Tm2In2 | PBE-GGA | relaxed

Structure (POSCAR):
```
Pr3Tm2In2
1.0
-0.5470 -3.7539 -3.3115
3.5308 -0.1679 -0.3929
0.3391 -9.8131 7.2395
Pr Tm In
3 2 2
Cartesian
-0.3700 -6.0466 -0.7417
0.0000 0.0000 0.0000
0.1621 -7.5204 4.6697
1.5703 -8.3965 1.6017
1.7526 -5.3383 1.9334
1.7430 -10.6344 4.1100
1.5799 -3.1005 -0.5749
```

Results
As for the density of states at the Fermi level: 8.559 states/eV per cell. For the total energy, the calculation gives -29.886 eV for the cell shown. As for the total magnetization: 0.00 Bohr magnetons per cell. The calculation puts the volume at 213.8 Å³ per cell. As for the space-group type: Cmmm. The energy above the most stable polymorph in this dataset is 88 meV/atom. The calculation puts the formation energy at -0.16 eV per atom.



CsCo2BiBr8 | PBE-GGA | relaxed

Structure (POSCAR):
```
CsCo2BiBr8
1.0
6.9109 0.0000 0.0000
3.4554 5.9850 0.0000
3.4554 1.9950 10.5407
Cs Co Bi Br
1 2 1 8
Cartesian
6.9109 3.9900 5.2703
3.4554 1.9950 2.4619
10.3663 5.9850 8.0788
0.0000 0.0000 0.0000
3.4554 1.9950 4.7932
5.7493 2.0516 1.7129
10.3663 5.9850 5.7475
9.1704 3.9533 1.7129
4.6513 4.0268 8.8277
5.8129 5.9652 1.7129
8.0088 2.0148 8.8277
8.0725 5.9285 8.8277
```

Results
For the total energy, the calculation gives -40.556 eV for the cell shown. For the formation energy (no corrections), the calculation gives -0.69 eV per atom. As for the total magnetization: 6.00 Bohr magnetons per cell. The calculation puts the volume at 436.0 Å³ per cell. As for the space-group type: R-3.



SrCoGe2Ru | PBE-GGA | relaxed

Structure (POSCAR):
```
SrCoGe2Ru
1.0
4.1838 0.0000 0.0000
0.0000 4.1838 0.0000
-2.0919 -2.0919 5.3551
Sr Co Ge Ru
1 1 2 1
Cartesian
0.0000 0.0000 0.0000
0.0000 2.0919 2.6776
2.0919 2.0919 1.4837
0.0000 0.0000 3.8715
2.0919 0.0000 2.6776
```

Results
As for the density of states at the Fermi level: 2.906 states/eV per cell. For the total energy, the calculation gives -29.608 eV for the cell shown. As for the total magnetization: 0.00 Bohr magnetons per cell. The calculation puts the volume at 93.7 Å³ per cell. As for the space-group type: I-4m2. The calculation puts the formation energy at -0.46 eV per atom.



KHgW2 | PBE-GGA | relaxed

Structure (POSCAR):
```
KHgW2
1.0
6.1317 0.0101 0.0000
-3.5663 4.9879 0.0000
0.0000 0.0000 2.6938
Hg K W
1 1 2
Cartesian
3.0659 0.0050 1.3469
-1.7831 2.4940 1.3469
0.0000 0.0000 0.0000
1.2827 2.4990 0.0000
```

Results
As for the density of states at the Fermi level: 3.109 states/eV per cell. For the total energy, the calculation gives -21.319 eV for the cell shown. As for the total magnetization: 0.00 Bohr magnetons per cell. The calculation puts the volume at 82.5 Å³ per cell. As for the space-group type: Cmmm. The calculation puts the formation energy at 1.50 eV per atom.